Computed, not measured: an optimized crystal structure of Th3Mg2Tl6 at the PBE level of DFT.

Properties
The calculation puts the total energy at -39.36 eV per cell. The calculated volume comes out at 28.2 Å³/atom. For the density, the calculation gives 10548 kg/m³. The density of states at the Fermi level comes out at 0.689 states/eV/atom.

Cell and atoms, written as POSCAR:
```
Th3Mg2Tl6
1.0
4.722 0.000 0.000
0.000 4.722 0.000
-2.361 -2.361 13.916
Th Mg Tl
3 2 6
direct
0.000 0.000 0.000 Th
0.806 0.806 0.613 Th
0.194 0.194 0.387 Th
0.453 0.453 0.907 Mg
0.547 0.547 0.093 Mg
0.105 0.605 0.211 Tl
0.605 0.105 0.211 Tl
0.895 0.395 0.789 Tl
0.395 0.895 0.789 Tl
0.694 0.694 0.387 Tl
0.306 0.306 0.613 Tl
```